# LaTaAs | the Alexandria database | GGA-PBE | optimized geometry
data_LaTaAs
_cell_length_a 3.6834
_cell_length_b 3.6834
_cell_length_c 6.2568
_cell_angle_alpha 90.00
_cell_angle_beta 90.00
_cell_angle_gamma 120.00
_symmetry_space_group_name_H-M 'P 3 m 1'
_symmetry_Int_Tables_number 156
_symmetry_space_group_name_Hall 'P 3 -2"'
loop_
_atom_site_label
_atom_site_type_symbol
_atom_site_fract_x
_atom_site_fract_y
_atom_site_fract_z
La1 La 0.0000 0.0000 0.0000
Ta1 Ta 0.3333 0.6667 0.4187
As1 As 0.6667 0.3333 0.6546
# Fermi-level density of states   3.38 states/eV/f.u.
# Raw total energy   -0.26967 hartree per atom
# Distance to the lowest polymorph of the same formula   1.67 eV/f.u.
# Formation energy from the elements   -0.19 eV/atom